Li3TaCr (PBE-GGA, relaxed); energy relative to the lowest polymorph listed for this composition = 0.00 eV per formula unit; D(E_F) = 1.47 states/eV per cell; energy of formation = 1.324 eV/atom
1.0
4.364 0.000 0.000
0.000 4.364 0.000
0.000 0.000 4.364
Li Ta Cr
3 1 1
direct
0.000 0.000 0.500
0.000 0.500 0.000
0.500 0.000 0.000
0.500 0.500 0.500
0.000 0.000 0.000

---

LiTaCr (PBE-GGA, relaxed); energy relative to the lowest polymorph listed for this composition = 0.00 eV per formula unit; D(E_F) = 2.84 states/eV per cell; energy of formation = 0.438 eV/atom
1.0
0.000 2.205 6.851
1.563 0.000 6.851
1.563 2.205 0.000
Li Ta Cr
1 1 1
direct
0.000 0.000 0.000
0.689 0.689 0.311
0.336 0.336 0.664

---

Li2TaCr (PBE-GGA, relaxed); energy relative to the lowest polymorph listed for this composition = 1.90 eV per formula unit; D(E_F) = 2.72 states/eV per cell; energy of formation = 0.798 eV/atom
1.0
0.000 3.047 3.047
3.047 0.000 3.047
3.047 3.047 0.000
Li Ta Cr
2 1 1
direct
0.250 0.250 0.250
0.750 0.750 0.750
0.000 0.000 0.000
0.500 0.500 0.500

---

LiTaCr (PBE-GGA, relaxed); energy relative to the lowest polymorph listed for this composition = 0.42 eV per formula unit; D(E_F) = 3.07 states/eV per cell; energy of formation = 0.579 eV/atom
1.0
-1.297 1.297 6.949
1.297 -1.297 6.949
1.297 1.297 -6.949
Li Ta Cr
1 1 1
direct
0.000 0.000 0.000
0.317 0.317 0.000
0.658 0.658 0.000

---

Li2TaCr (PBE-GGA, relaxed); energy relative to the lowest polymorph listed for this composition = 0.00 eV per formula unit; D(E_F) = 3.31 states/eV per cell; energy of formation = 0.324 eV/atom
1.0
1.574 -2.259 0.000
1.574 2.259 0.000
0.000 0.000 9.205
Li Ta Cr
2 1 1
direct
0.000 0.000 0.000
0.500 0.500 0.275
0.000 0.000 0.549
0.500 0.500 0.762

---

LiTaCr2 (PBE-GGA, relaxed); energy relative to the lowest polymorph listed for this composition = 0.31 eV per formula unit; D(E_F) = 4.57 states/eV per cell; energy of formation = 0.401 eV/atom
1.0
-1.517 2.175 4.224
1.517 -2.175 4.224
1.517 2.175 -4.224
Li Ta Cr
1 1 2
direct
0.000 0.000 0.000
0.273 0.773 0.500
0.545 0.545 0.000
0.741 0.241 0.500

---

Li2TaCr (PBE-GGA, relaxed); energy relative to the lowest polymorph listed for this composition = 1.08 eV per formula unit; D(E_F) = 3.23 states/eV per cell; energy of formation = 0.594 eV/atom
1.0
2.563 0.000 0.000
0.000 4.820 0.000
0.000 0.000 4.977
Li Ta Cr
2 1 1
direct
0.000 0.000 0.243
0.000 0.000 0.757
0.500 0.500 0.500
0.500 0.500 0.000

---

Li4TaCr (PBE-GGA, relaxed); D(E_F) = 3.26 states/eV per cell; energy of formation = 0.572 eV/atom
1.0
0.000 3.529 3.529
3.529 0.000 3.529
3.529 3.529 0.000
Li Ta Cr
4 1 1
direct
0.376 0.376 0.376
0.376 0.376 0.873
0.376 0.873 0.376
0.873 0.376 0.376
0.000 0.000 0.000
0.750 0.750 0.750

---

LiTaCr2 (PBE-GGA, relaxed); energy relative to the lowest polymorph listed for this composition = 0.78 eV per formula unit; D(E_F) = 4.20 states/eV per cell; energy of formation = 0.521 eV/atom
1.0
4.342 -1.239 0.000
4.342 1.239 0.000
-0.099 0.000 5.154
Li Ta Cr
1 1 2
direct
0.000 0.000 0.000
0.747 0.747 0.263
0.255 0.255 0.754
0.492 0.492 0.534

---

Li2TaCr (PBE-GGA, relaxed); energy relative to the lowest polymorph listed for this composition = 1.21 eV per formula unit; D(E_F) = 3.07 states/eV per cell; energy of formation = 0.626 eV/atom
1.0
-1.490 2.436 4.136
1.490 -2.436 4.136
1.490 2.436 -4.136
Li Ta Cr
2 1 1
direct
0.000 0.000 0.000
0.765 0.265 0.500
0.286 0.786 0.500
0.510 0.510 0.000

---

Li2TaCr (PBE-GGA, relaxed); energy relative to the lowest polymorph listed for this composition = 0.54 eV per formula unit; D(E_F) = 2.71 states/eV per cell; energy of formation = 0.459 eV/atom
1.0
2.703 0.000 0.000
0.000 5.015 0.000
-0.676 0.000 4.517
Li Ta Cr
2 1 1
direct
0.216 0.000 0.260
0.784 0.000 0.740
0.500 0.500 0.000
0.000 0.500 0.500

---

LiTaCr2 (PBE-GGA, relaxed); energy relative to the lowest polymorph listed for this composition = 0.66 eV per formula unit; D(E_F) = 4.54 states/eV per cell; energy of formation = 0.489 eV/atom
1.0
-1.559 2.054 4.182
1.559 -2.054 4.182
1.559 2.054 -4.182
Li Ta Cr
1 1 2
direct
0.000 0.000 0.000
0.500 0.500 0.000
0.252 0.752 0.500
0.748 0.248 0.500

---

LiTaCr (PBE-GGA, relaxed); energy relative to the lowest polymorph listed for this composition = 0.19 eV per formula unit; D(E_F) = 3.05 states/eV per cell; energy of formation = 0.502 eV/atom
1.0
-1.599 1.599 4.346
1.599 -1.599 4.346
1.599 1.599 -4.346
Li Ta Cr
1 1 1
direct
0.000 0.000 0.000
0.686 0.686 0.000
0.338 0.338 0.000

---

LiTaCr2 (PBE-GGA, relaxed); energy relative to the lowest polymorph listed for this composition = 0.67 eV per formula unit; D(E_F) = 4.86 states/eV per cell; energy of formation = 0.493 eV/atom
1.0
3.139 0.000 0.000
0.000 3.139 0.000
0.000 0.000 5.389
Li Ta Cr
1 1 2
direct
0.000 0.000 0.000
0.000 0.000 0.500
0.500 0.500 0.211
0.500 0.500 0.789

---

LiTaCr (PBE-GGA, relaxed); energy relative to the lowest polymorph listed for this composition = 0.27 eV per formula unit; D(E_F) = 2.73 states/eV per cell; energy of formation = 0.530 eV/atom
1.0
-1.257 2.120 4.137
1.257 -2.120 4.137
1.257 2.120 -4.137
Li Ta Cr
1 1 1
direct
0.000 0.000 0.000
0.674 0.674 0.000
0.334 0.334 0.000

---

LiTaCr2 (PBE-GGA, relaxed); energy relative to the lowest polymorph listed for this composition = 0.40 eV per formula unit; D(E_F) = 3.04 states/eV per cell; energy of formation = 0.424 eV/atom
1.0
3.098 0.000 0.000
0.000 4.180 0.000
0.000 0.000 4.231
Li Ta Cr
1 1 2
direct
0.000 0.000 0.000
0.500 0.000 0.500
0.000 0.500 0.500
0.500 0.500 0.000

---

LiTaCr2 (PBE-GGA, relaxed); energy relative to the lowest polymorph listed for this composition = 0.52 eV per formula unit; D(E_F) = 3.85 states/eV per cell; energy of formation = 0.453 eV/atom
1.0
1.392 0.804 9.011
-1.392 0.804 9.011
0.000 -1.607 9.011
Li Ta Cr
1 1 2
direct
0.000 0.000 0.000
0.236 0.236 0.236
0.481 0.481 0.481
0.755 0.755 0.755

---

LiTaCr2 (PBE-GGA, relaxed); energy relative to the lowest polymorph listed for this composition = 0.55 eV per formula unit; D(E_F) = 4.84 states/eV per cell; energy of formation = 0.463 eV/atom
1.0
1.520 -2.128 0.000
1.520 2.128 0.000
0.000 0.000 8.976
Li Ta Cr
1 1 2
direct
0.000 0.000 0.000
0.000 0.000 0.500
0.500 0.500 0.255
0.500 0.500 0.745

---

Li2TaCr (PBE-GGA, relaxed); energy relative to the lowest polymorph listed for this composition = 0.43 eV per formula unit; D(E_F) = 3.56 states/eV per cell; energy of formation = 0.431 eV/atom
1.0
2.970 0.000 0.000
0.000 4.103 0.000
0.000 0.000 4.996
Li Ta Cr
2 1 1
direct
0.000 0.000 0.000
0.500 0.500 0.000
0.000 0.500 0.500
0.500 0.000 0.500

---

LiTaCr2 (PBE-GGA, relaxed); energy relative to the lowest polymorph listed for this composition = 0.58 eV per formula unit; D(E_F) = 4.61 states/eV per cell; energy of formation = 0.470 eV/atom
1.0
2.579 -4.371 0.000
2.579 4.371 0.000
-0.823 0.000 2.419
Li Ta Cr
1 1 2
direct
0.000 0.000 0.000
0.500 0.500 0.000
0.000 0.500 0.500
0.500 0.000 0.500

---

LiTaCr2 (PBE-GGA, relaxed); energy relative to the lowest polymorph listed for this composition = 0.87 eV per formula unit; D(E_F) = 4.93 states/eV per cell; energy of formation = 0.541 eV/atom
1.0
2.573 -4.376 0.000
2.573 4.376 0.000
0.000 0.000 2.476
Li Ta Cr
1 1 2
direct
0.000 0.000 0.000
0.500 0.500 0.000
0.000 0.500 0.500
0.500 0.000 0.500

---

LiTaCr (PBE-GGA, relaxed); energy relative to the lowest polymorph listed for this composition = 2.28 eV per formula unit; D(E_F) = 2.42 states/eV per cell; energy of formation = 1.199 eV/atom
1.0
0.000 2.842 2.842
2.842 0.000 2.842
2.842 2.842 0.000
Li Ta Cr
1 1 1
direct
0.000 0.000 0.000
0.750 0.750 0.750
0.250 0.250 0.250

---

Li2TaCr (PBE-GGA, relaxed); energy relative to the lowest polymorph listed for this composition = 1.71 eV per formula unit; D(E_F) = 2.69 states/eV per cell; energy of formation = 0.751 eV/atom
1.0
3.292 0.000 0.000
0.000 3.292 0.000
0.000 0.000 5.290
Li Ta Cr
2 1 1
direct
0.000 0.000 0.229
0.000 0.000 0.771
0.500 0.500 0.500
0.500 0.500 0.000

---

Li2TaCr (PBE-GGA, relaxed); energy relative to the lowest polymorph listed for this composition = 2.27 eV per formula unit; D(E_F) = 4.78 states/eV per cell; energy of formation = 0.891 eV/atom
1.0
-3.526 3.526 2.429
3.526 -3.526 2.429
3.526 3.526 -2.429
Li Ta Cr
4 2 2
direct
0.104 0.125 0.479
0.375 0.896 0.021
0.646 0.625 0.521
0.875 0.354 0.979
0.250 0.750 0.500
0.500 0.500 0.000
0.000 0.000 0.000
0.750 0.250 0.500

---

LiTaCr2 (PBE-GGA, relaxed); energy relative to the lowest polymorph listed for this composition = 0.77 eV per formula unit; D(E_F) = 4.76 states/eV per cell; energy of formation = 0.517 eV/atom
1.0
0.000 3.050 3.050
3.050 0.000 3.050
3.050 3.050 0.000
Li Ta Cr
1 1 2
direct
0.000 0.000 0.000
0.500 0.500 0.500
0.250 0.250 0.250
0.750 0.750 0.750

---

Li2TaCr (PBE-GGA, relaxed); energy relative to the lowest polymorph listed for this composition = 1.38 eV per formula unit; D(E_F) = 3.69 states/eV per cell; energy of formation = 0.668 eV/atom
1.0
2.536 0.000 0.000
0.000 2.536 0.000
0.000 0.000 9.564
Li Ta Cr
2 1 1
direct
0.000 0.000 0.236
0.000 0.000 0.764
0.500 0.500 0.500
0.500 0.500 0.000

---

LiTaCr2 (PBE-GGA, relaxed); energy relative to the lowest polymorph listed for this composition = 2.30 eV per formula unit; D(E_F) = 9.34 states/eV per cell; energy of formation = 0.899 eV/atom
1.0
-3.337 3.337 2.480
3.337 -3.337 2.480
3.337 3.337 -2.480
Li Ta Cr
2 2 4
direct
0.000 0.000 0.000
0.750 0.250 0.500
0.250 0.750 0.500
0.500 0.500 0.000
0.101 0.625 0.976
0.375 0.351 0.476
0.649 0.125 0.024
0.875 0.899 0.524

---

LiTaCr (PBE-GGA, relaxed); energy relative to the lowest polymorph listed for this composition = 0.09 eV per formula unit; D(E_F) = 2.82 states/eV per cell; energy of formation = 0.469 eV/atom
1.0
4.516 0.000 0.000
-2.258 3.911 0.000
0.000 0.000 2.488
Li Ta Cr
1 1 1
direct
0.000 0.000 0.000
0.333 0.667 0.462
0.667 0.333 0.942

---

Li2TaCr (PBE-GGA, relaxed); energy relative to the lowest polymorph listed for this composition = 0.88 eV per formula unit; D(E_F) = 2.38 states/eV per cell; energy of formation = 0.543 eV/atom
1.0
4.585 -1.347 0.000
4.585 1.347 0.000
-0.922 0.000 5.228
Li Ta Cr
2 1 1
direct
0.000 0.000 0.000
0.248 0.248 0.811
0.480 0.480 0.475
0.737 0.737 0.324

---

Li2TaCr (PBE-GGA, relaxed); energy relative to the lowest polymorph listed for this composition = 0.58 eV per formula unit; D(E_F) = 2.96 states/eV per cell; energy of formation = 0.468 eV/atom
1.0
2.458 -5.031 0.000
2.458 5.031 0.000
-1.073 0.000 2.475
Li Ta Cr
2 1 1
direct
0.000 0.500 0.000
0.500 0.000 0.000
0.000 0.000 0.500
0.500 0.500 0.500